A relaxed structure of CdFeAgCl5, computed with PBE-GGA.

## Properties
formation energy from raw total energies = -0.730 eV per atom
symmetry = C2/c (15)
DOS at the Fermi energy = 0.6671 states/eV per atom
spin magnetization = 4.000 μB per formula unit

Cell and atoms, written as POSCAR:
```
CdFeAgCl5
1.0
-5.280 4.400 1.506
-1.884 -5.535 3.914
7.924 3.723 4.188
Cd Fe Ag Cl
2 2 2 10
Cartesian
3.962 1.861 2.094
0.000 0.000 0.000
-2.187 2.078 3.341
2.947 0.509 6.267
-1.078 -1.167 4.128
1.838 3.755 5.480
-0.273 -3.522 4.698
1.033 6.109 4.910
-4.360 2.721 3.282
5.120 -0.133 6.327
-0.828 3.817 2.824
1.588 -1.229 6.784
-1.521 1.230 5.366
2.280 1.357 4.242
-1.943 0.261 1.962
2.703 2.327 7.646
```